DFT (GGA-PBE) results for a relaxed structure of Ge3WI.

Output
The uncorrected formation energy is 0.393 eV/atom. Its space group is Pm-3m, No. 221. The total DFT energy (no corrections) is -5.278 eV per atom.

Structure (POSCAR):
```
Ge3WI
1.0
5.019 0.000 0.000
0.000 5.019 0.000
0.000 0.000 5.019
Ge W I
3 1 1
direct
0.000 0.000 0.500
0.000 0.500 0.000
0.500 0.000 0.000
0.000 0.000 0.000
0.500 0.500 0.500
```

=====

DFT (GGA-PBE) results for a relaxed structure of MnTcW2I.

Output
The uncorrected formation energy is 2.557 eV/atom. Its space group is P4/mmm, No. 123. The total DFT energy (no corrections) is -6.842 eV per atom.

Structure (POSCAR):
```
MnTcW2I
1.0
4.863 0.000 0.000
0.000 4.863 0.000
0.000 0.000 4.769
Mn Tc W I
1 1 2 1
direct
0.000 0.000 0.000
0.500 0.500 0.000
0.000 0.500 0.500
0.500 0.000 0.500
0.500 0.500 0.500
```

=====

DFT (GGA-PBE) results for a relaxed structure of Tb8PtRh5.

Output
Its formation energy is -0.814 eV per atom. Its space group is I-4, No. 82. The total DFT energy (no corrections) is -6.517 eV per atom.

Structure (POSCAR):
```
Tb8PtRh5
1.0
-4.326 4.326 4.308
4.326 -4.326 4.308
4.326 4.326 -4.308
Tb Pt Rh
8 1 5
direct
0.252 0.501 0.121
0.375 0.124 0.371
0.380 0.131 0.879
0.499 0.620 0.751
0.753 0.004 0.629
0.869 0.748 0.249
0.876 0.247 0.251
0.996 0.625 0.749
0.250 0.750 0.500
0.000 0.000 0.000
0.125 0.248 0.626
0.500 0.875 0.123
0.623 0.500 0.374
0.752 0.377 0.877
```

=====

DFT (GGA-PBE) results for a relaxed structure of K2P2S.

Output
The uncorrected formation energy is -0.201 eV/atom. Its space group is I4/mmm, No. 139. The total DFT energy (no corrections) is -3.629 eV per atom.

Structure (POSCAR):
```
K2P2S
1.0
-3.193 3.193 3.470
3.193 -3.193 3.470
3.193 3.193 -3.470
K P S
2 2 1
direct
0.250 0.750 0.500
0.750 0.250 0.500
0.154 0.154 0.000
0.846 0.846 0.000
0.500 0.500 0.000
```

=====

DFT (GGA-PBE) results for a relaxed structure of UNb2O7.

Output
The uncorrected formation energy is -2.746 eV/atom. Its space group is Cmcm, No. 63. The total DFT energy (no corrections) is -9.359 eV per atom.

Structure (POSCAR):
```
UNb2O7
1.0
1.909 -10.628 0.000
1.909 10.628 0.000
0.000 0.000 6.548
U Nb O
2 4 14
direct
0.144 0.856 0.750
0.856 0.144 0.250
0.024 0.976 0.250
0.336 0.664 0.750
0.664 0.336 0.250
0.976 0.024 0.750
0.052 0.948 0.566
0.052 0.948 0.934
0.137 0.863 0.250
0.249 0.751 0.750
0.347 0.653 0.056
0.347 0.653 0.444
0.451 0.549 0.750
0.549 0.451 0.250
0.653 0.347 0.556
0.653 0.347 0.944
0.751 0.249 0.250
0.863 0.137 0.750
0.948 0.052 0.066
0.948 0.052 0.434
```

=====

DFT (GGA-PBE) results for a relaxed structure of La2Tb3PmNd6.

Output
Its formation energy is 0.017 eV per atom. Its space group is C2/m, No. 12. The total DFT energy (no corrections) is -4.741 eV per atom.

Structure (POSCAR):
```
La2Tb3PmNd6
1.0
3.175 -5.502 0.000
3.175 5.502 0.000
-2.127 0.000 11.937
La Tb Pm Nd
2 3 1 6
direct
0.167 0.833 0.000
0.833 0.167 0.000
0.000 0.000 0.500
0.334 0.666 0.500
0.666 0.334 0.500
0.500 0.500 0.000
0.082 0.415 0.745
0.252 0.252 0.255
0.415 0.082 0.745
0.585 0.918 0.255
0.748 0.748 0.745
0.918 0.585 0.255
```